[1]
Density functional theory data (PBE-GGA) for a relaxed UPa crystal.

Lattice parameters (Å, degrees): 3.9070 3.9070 3.9070 60.00 60.00 60.00
Sites, in units of the cell vectors:
U (0.5000, 0.5000, 0.5000)
Pa (0.0000, 0.0000, 0.0000)

Summary:
For the energy above the most stable polymorph in this dataset, the calculation gives 303 meV/atom. Its space group is No. 225.

=====

[2]
Density functional theory data (PBE-GGA) for a relaxed UPa crystal.

Lattice parameters (Å, degrees): 4.2573 4.2573 4.2573 60.00 60.00 60.00
Site moments in Bohr magnetons follow the coordinates.
Sites, in units of the cell vectors:
Pa (0.0000, 0.0000, 0.0000)  0.06
U (0.2500, 0.2500, 0.2500)  0.09

Summary:
For the energy above the most stable polymorph in this dataset, the calculation gives 1293 meV/atom. Its space group is No. 216.

=====

[3]
Density functional theory data (PBE-GGA) for a relaxed UPa2 crystal.

Lattice parameters (Å, degrees): 8.3495 8.3495 8.3495 60.00 60.00 60.00
Site moments in Bohr magnetons follow the coordinates.
Sites, in units of the cell vectors:
Pa (0.8750, 0.3750, 0.3750)  1.19
Pa (0.3750, 0.3750, 0.8750)  1.18
Pa (0.3750, 0.3750, 0.3750)  1.19
Pa (0.3750, 0.8750, 0.3750)  1.17
U (0.5000, 0.5000, 0.5000)  2.51
U (0.2500, 0.2500, 0.2500)  2.51

Summary:
Its space group is No. 227.

=====

[4]
Density functional theory data (PBE-GGA) for a relaxed UPa crystal.

Lattice parameters (Å, degrees): 3.0693 3.0693 5.5710 90.00 90.00 120.00
Sites, in units of the cell vectors:
U (0.3333, 0.6667, 0.2500)
Pa (0.6667, 0.3333, 0.7500)

Summary:
For the energy above the most stable polymorph in this dataset, the calculation gives 0 meV/atom. Its space group is No. 187.

=====

[5]
Density functional theory data (PBE-GGA) for a relaxed UPaZn crystal.

Lattice parameters (Å, degrees): 4.6581 4.6581 4.6581 60.00 60.00 60.00
Sites, in units of the cell vectors:
Zn (0.7500, 0.7500, 0.7500)
Pa (0.2500, 0.2500, 0.2500)
U (0.0000, 0.0000, 0.0000)

Summary:
For the energy above the most stable polymorph in this dataset, the calculation gives 0 meV/atom. Its space group is No. 216.

=====

[6]
Density functional theory data (PBE-GGA) for a relaxed PaW crystal.

Lattice parameters (Å, degrees): 4.0088 4.0088 4.0088 60.00 60.00 60.00
Sites, in units of the cell vectors:
Pa (0.0000, 0.0000, 0.0000)
W (0.5000, 0.5000, 0.5000)

Summary:
For the energy above the most stable polymorph in this dataset, the calculation gives 384 meV/atom. Its space group is No. 225.

=====

Number 1: E_tot -19.9 eV for the cell shown. Number 2: E_tot -17.9 eV for the cell shown. Number 3: E_tot -46.4 eV for the cell shown. Number 4: E_tot -20.5 eV for the cell shown. Number 5: E_tot -19.8 eV for the cell shown. Number 6: E_tot -20.5 eV for the cell shown.